Entry from the Alexandria database: crystalline CoAgCl2 at its relaxed geometry (PBE).

- Formation energy from raw total energies: -0.0553 eV per atom
- Size of the total moment: 2.07 μB/f.u.
- Excess energy over the best structure of this formula in the dataset: 113 meV/atom
- Raw total energy: -3.468 eV per atom

Unit cell a=3.4731 b=3.4792 c=6.7181 alpha=90.00 beta=90.00 gamma=90.00
Site moments in Bohr magnetons follow the coordinates.
Fractional coordinates of all 4 atoms:
Co (0.0000, 0.0000, 0.4278)  1.93
Cl (0.5000, 0.5000, 0.3465)  0.06
Ag (0.5000, 0.5000, 0.9542)  0.00
Cl (0.0000, 0.0000, 0.7715)  0.02